No. 1
# Pr2YZn (GGA-PBE, optimized geometry)
# - energy relative to the elements (kJ/mol of atoms) = -1.8
data_Pr2YZn
_cell_length_a 3.6781
_cell_length_b 3.6781
_cell_length_c 31.9471
_cell_angle_alpha 90.00
_cell_angle_beta 90.00
_cell_angle_gamma 120.00
_space_group_name_H-M_alt 'R -3 m'
_space_group_IT_number 166
_space_group_name_Hall '-R 3 2"'
loop_
_atom_site_label
_atom_site_type_symbol
_atom_site_fract_x
_atom_site_fract_y
_atom_site_fract_z
_atom_site_occupancy
Pr1 Pr 0.0000 0.0000 0.2400 1
Y1 Y 0.0000 0.0000 0.0000 1
Zn1 Zn 0.0000 0.0000 0.5000 1

No. 2
# PrYZn (GGA-PBE, optimized geometry)
# - energy relative to the elements (kJ/mol of atoms) = -16.0
data_PrYZn
_cell_length_a 4.821
_cell_length_b 4.821
_cell_length_c 7.424
_cell_angle_alpha 90.00
_cell_angle_beta 90.00
_cell_angle_gamma 90.00
_space_group_name_H-M_alt 'P 4/n m m'
_space_group_IT_number 129
loop_
_space_group_symop_operation_xyz
'x,y,z'
'-x,-y,-z'
'-y+1/2,x,z'
'y+1/2,-x,-z'
'-x+1/2,-y+1/2,z'
'x+1/2,y+1/2,-z'
'y,-x+1/2,z'
'-y,x+1/2,-z'
'x+1/2,-y,-z'
'-x+1/2,y,z'
'-y,-x,-z'
'y,x,z'
'-x,y+1/2,-z'
'x,-y+1/2,z'
'y+1/2,x+1/2,-z'
'-y+1/2,-x+1/2,z'
loop_
_atom_site_label
_atom_site_type_symbol
_atom_site_fract_x
_atom_site_fract_y
_atom_site_fract_z
_atom_site_occupancy
Pr1 Pr 0.250 0.250 0.126 1
Y1 Y 0.250 0.750 0.500 1
Zn1 Zn 0.250 0.250 0.736 1